Entry 1:
First-principles (PBE with a Hubbard U) data for an optimized crystal structure of PuMn2BiO6, as listed in the Alexandria database.

Results
As for the total magnetic moment: 13.0 μB/f.u. The crystal system is trigonal. As for the raw total energy: -8.209 eV/atom.

Cell: 6.011 6.011 6.011 Å, 56.26 56.26 56.26°
Fractional positions:
1 Pu 0.000 0.000 0.000
2 Mn 0.297 0.297 0.297
3 Mn 0.790 0.790 0.790
4 Bi 0.508 0.508 0.508
5 O 0.090 0.400 0.713
6 O 0.178 0.933 0.606
7 O 0.400 0.713 0.090
8 O 0.606 0.178 0.933
9 O 0.713 0.090 0.400
10 O 0.933 0.606 0.178

Entry 2:
First-principles (PBE with a Hubbard U) data for an optimized crystal structure of Rb2MnBiO4, as listed in the Alexandria database.

Results
As for the total magnetic moment: 4.0 μB/f.u. The crystal system is monoclinic. As for the raw total energy: -5.414 eV/atom.

Cell: 5.887 3.553 6.722 Å, 90.00 106.59 90.00°
Fractional positions:
1 Rb 0.000 0.000 0.000
2 Rb 0.500 0.500 0.000
3 Mn 0.000 0.500 0.500
4 Bi 0.500 0.000 0.500
5 O 0.215 0.000 0.682
6 O 0.236 0.500 0.329
7 O 0.764 0.500 0.671
8 O 0.785 0.000 0.318

Entry 3:
First-principles (PBE with a Hubbard U) data for an optimized crystal structure of RbMn2Bi2O7, as listed in the Alexandria database.

Results
As for the total magnetic moment: 7.0 μB/f.u. The crystal system is trigonal. As for the raw total energy: -6.048 eV/atom.

Cell: 9.200 9.200 9.200 Å, 37.38 37.38 37.38°
Fractional positions:
1 Rb 0.000 0.000 0.000
2 Mn 0.428 0.428 0.428
3 Mn 0.572 0.572 0.572
4 Bi 0.216 0.216 0.216
5 Bi 0.784 0.784 0.784
6 O 0.073 0.480 0.670
7 O 0.330 0.520 0.927
8 O 0.480 0.670 0.073
9 O 0.500 0.500 0.500
10 O 0.520 0.927 0.330
11 O 0.670 0.073 0.480
12 O 0.927 0.330 0.520

Entry 4:
First-principles (PBE with a Hubbard U) data for an optimized crystal structure of RbMnBiO3, as listed in the Alexandria database.

Results
As for the total magnetic moment: 5.0 μB/f.u. The crystal system is monoclinic. As for the raw total energy: -5.897 eV/atom.

Cell: 7.912 3.571 9.275 Å, 90.00 97.94 90.00°
Fractional positions:
1 Rb 0.191 0.250 0.197
2 Rb 0.809 0.750 0.803
3 Mn 0.407 0.750 0.890
4 Mn 0.593 0.250 0.110
5 Bi 0.169 0.250 0.608
6 Bi 0.831 0.750 0.392
7 O 0.103 0.750 0.423
8 O 0.167 0.750 0.767
9 O 0.456 0.750 0.123
10 O 0.544 0.250 0.877
11 O 0.833 0.250 0.233
12 O 0.897 0.250 0.577

Entry 5:
First-principles (PBE with a Hubbard U) data for an optimized crystal structure of MnReBi2O8, as listed in the Alexandria database.

Results
As for the total magnetic moment: 4.1 μB/f.u. The crystal system is monoclinic. As for the raw total energy: -6.935 eV/atom.

Cell: 5.004 6.834 5.010 Å, 90.00 92.05 90.00°
Fractional positions:
1 Mn 0.000 0.000 0.000
2 Re 0.000 0.500 0.000
3 Bi 0.500 0.247 0.500
4 Bi 0.500 0.753 0.500
5 O 0.177 0.290 0.825
6 O 0.177 0.710 0.825
7 O 0.272 0.500 0.276
8 O 0.284 0.000 0.286
9 O 0.716 0.000 0.714
10 O 0.728 0.500 0.724
11 O 0.823 0.290 0.175
12 O 0.823 0.710 0.175

Entry 6:
First-principles (PBE with a Hubbard U) data for an optimized crystal structure of MnBiRh2O8, as listed in the Alexandria database.

Results
As for the total magnetic moment: 4.9 μB/f.u. The crystal system is trigonal. As for the raw total energy: -5.690 eV/atom.

Cell: 5.806 5.806 5.880 Å, 90.00 90.00 120.00°
Fractional positions:
1 Mn 0.000 0.000 0.000
2 Bi 0.000 0.000 0.500
3 Rh 0.333 0.667 0.452
4 Rh 0.667 0.333 0.548
5 O 0.063 0.388 0.653
6 O 0.325 0.937 0.653
7 O 0.333 0.667 0.144
8 O 0.388 0.325 0.347
9 O 0.612 0.675 0.653
10 O 0.667 0.333 0.856
11 O 0.675 0.063 0.347
12 O 0.937 0.612 0.347

Entry 7:
First-principles (PBE with a Hubbard U) data for an optimized crystal structure of MnBiRuO6, as listed in the Alexandria database.

Results
As for the total magnetic moment: 2.0 μB/f.u. The crystal system is tetragonal. As for the raw total energy: -6.685 eV/atom.

Cell: 4.864 4.864 9.554 Å, 90.00 90.00 90.00°
Fractional positions:
1 Mn 0.000 0.000 0.000
2 Mn 0.500 0.500 0.500
3 Bi 0.000 0.000 0.332
4 Bi 0.500 0.500 0.832
5 Ru 0.000 0.000 0.667
6 Ru 0.500 0.500 0.167
7 O 0.174 0.174 0.837
8 O 0.191 0.191 0.524
9 O 0.205 0.205 0.156
10 O 0.295 0.705 0.656
11 O 0.309 0.691 0.024
12 O 0.326 0.674 0.337
13 O 0.674 0.326 0.337
14 O 0.691 0.309 0.024
15 O 0.705 0.295 0.656
16 O 0.795 0.795 0.156
17 O 0.809 0.809 0.524
18 O 0.826 0.826 0.837

Entry 8:
First-principles (PBE with a Hubbard U) data for an optimized crystal structure of MnBi2RuO8, as listed in the Alexandria database.

Results
As for the total magnetic moment: 2.9 μB/f.u. The crystal system is monoclinic. As for the raw total energy: -6.374 eV/atom.

Cell: 4.834 6.803 4.835 Å, 90.00 90.85 90.00°
Fractional positions:
1 Mn 0.000 0.000 0.000
2 Bi 0.500 0.249 0.500
3 Bi 0.500 0.751 0.500
4 Ru 0.000 0.500 0.000
5 O 0.177 0.267 0.822
6 O 0.177 0.733 0.822
7 O 0.285 0.500 0.284
8 O 0.292 0.000 0.291
9 O 0.708 0.000 0.709
10 O 0.715 0.500 0.716
11 O 0.823 0.267 0.178
12 O 0.823 0.733 0.178

Per-record V, Å³ per cell: 140.3, 134.7, 257.4, 259.5, 171.2, 171.6, 226.0, 159.0